! LiAlP | Alexandria | meta-GGA SCAN | PBEsol geometry; values from VASP
&SYSTEM
  ibrav = 0, nat = 3, ntyp = 3
/
ATOMIC_SPECIES
P 30.97 P.upf
Al 26.98 Al.upf
Li 6.94 Li.upf
ATOMIC_POSITIONS angstrom
P -1.5291 -1.8114 -0.8362
Al 0.0000 0.0000 0.0000
Li -3.0583 -3.6227 -1.6724
CELL_PARAMETERS angstrom
-0.4492 -2.9904 -2.7758
-1.9629 -3.4605 1.0106
-3.7044 -0.7946 -1.5796
! - Crystal system: cubic
! - Density: 2.20 Mg/m³
! - Formation energy from the elements: -0.28 eV per atom
! - D(E_F): 2.454 states/eV/f.u.


! YFeGeH2 | Alexandria | meta-GGA SCAN | PBEsol geometry; values from VASP
&SYSTEM
  ibrav = 0, nat = 5, ntyp = 4
/
ATOMIC_SPECIES
H 1.01 H.upf
Fe 55.84 Fe.upf
Y 88.91 Y.upf
Ge 72.64 Ge.upf
ATOMIC_POSITIONS angstrom
H -0.0833 -0.1063 -1.9214
H -0.6379 -1.8129 0.1280
Fe 0.0000 0.0000 0.0000
Y -2.3599 0.8344 0.0561
Ge -3.0811 -1.0849 -1.7373
CELL_PARAMETERS angstrom
-0.1665 -0.2127 -3.8428
-1.2759 -3.6259 0.2560
-4.7198 1.6687 0.1122
! - Crystal system: tetragonal
! - Density: 4.90 Mg/m³
! - D(E_F): 3.237 states/eV/f.u.


! MgIr2Ru | Alexandria | meta-GGA SCAN | PBEsol geometry; values from VASP
&SYSTEM
  ibrav = 0, nat = 4, ntyp = 3
/
ATOMIC_SPECIES
Mg 24.30 Mg.upf
Ru 101.07 Ru.upf
Ir 192.22 Ir.upf
ATOMIC_POSITIONS angstrom
Mg 0.2380 -0.4752 -2.6541
Ru 0.0000 0.0000 0.0000
Ir -1.0917 -2.2473 -1.0758
Ir 1.5980 -2.0198 -0.8753
CELL_PARAMETERS angstrom
-2.4517 -0.7027 -2.8545
2.9277 -0.2477 -2.4536
0.0304 -3.3168 3.3570
! - Crystal system: tetragonal
! - Density: 14.94 Mg/m³
! - Formation energy from the elements: -0.13 eV per atom
! - D(E_F): 4.409 states/eV/f.u.


! TlSn | Alexandria | meta-GGA SCAN | PBEsol geometry; values from VASP
&SYSTEM
  ibrav = 0, nat = 2, ntyp = 2
/
ATOMIC_SPECIES
Sn 118.71 Sn.upf
Tl 204.38 Tl.upf
ATOMIC_POSITIONS angstrom
Sn 0.0000 0.0000 0.0000
Tl 1.5967 1.5967 2.6829
CELL_PARAMETERS angstrom
3.1935 0.0000 0.0000
0.0000 3.1935 0.0000
0.0000 0.0000 5.3658
! - Crystal system: tetragonal
! - Density: 9.80 Mg/m³
! - Formation energy from the elements: 0.11 eV per atom
! - D(E_F): 1.027 states/eV/f.u.


! HoB3Mo | Alexandria | meta-GGA SCAN | PBEsol geometry; values from VASP
&SYSTEM
  ibrav = 0, nat = 10, ntyp = 3
/
ATOMIC_SPECIES
Ho 164.93 Ho.upf
Mo 95.94 Mo.upf
B 10.81 B.upf
ATOMIC_POSITIONS angstrom
Ho 0.7845 1.3374 1.9232
Ho 2.3534 2.6588 4.6859
Mo 2.3534 4.0630 1.4511
Mo 0.7845 -0.0668 5.1580
B 2.3534 0.4626 0.0274
B 0.7845 3.5337 6.5817
B 2.3534 -0.2881 3.4691
B 2.3534 2.2384 0.0437
B 0.7845 1.7578 6.5655
B 0.7845 4.2844 3.1400
CELL_PARAMETERS angstrom
3.1379 0.0000 0.0000
0.0000 5.3909 0.0019
0.0000 -1.3947 6.6073
! - Crystal system: monoclinic
! - Density: 8.71 Mg/m³
! - Formation energy from the elements: -0.66 eV per atom
! - D(E_F): 1.039 states/eV/f.u.


! LaZn2Se | Alexandria | meta-GGA SCAN | PBEsol geometry; values from VASP
&SYSTEM
  ibrav = 0, nat = 4, ntyp = 3
/
ATOMIC_SPECIES
La 138.91 La.upf
Zn 65.41 Zn.upf
Se 78.96 Se.upf
ATOMIC_POSITIONS angstrom
La 0.3836 -3.2782 0.4668
Zn -2.4390 -1.4314 -0.1180
Zn 0.0365 -0.3122 0.0444
Se -2.0105 -5.0937 0.4034
CELL_PARAMETERS angstrom
-2.8833 -0.0113 2.2898
-2.2503 -0.6672 -2.8368
0.7361 -6.2913 0.8958
! - Crystal system: tetragonal
! - Density: 6.68 Mg/m³
! - E_form (uncorrected): -0.66 eV per atom
! - D(E_F): 2.445 states/eV/f.u.


! TbMg | Alexandria | meta-GGA SCAN | PBEsol geometry; values from VASP
&SYSTEM
  ibrav = 0, nat = 2, ntyp = 2
/
ATOMIC_SPECIES
Tb 158.93 Tb.upf
Mg 24.30 Mg.upf
ATOMIC_POSITIONS angstrom
Tb 0.3940 -3.1829 0.4906
Mg 0.0000 0.0000 0.0000
CELL_PARAMETERS angstrom
-0.7048 -1.7972 3.2108
-1.7462 -2.7142 -1.9026
3.2389 -1.8544 -0.3271
! - Crystal system: cubic
! - Density: 5.79 Mg/m³
! - Formation energy from the elements: -0.08 eV per atom
! - D(E_F): 2.348 states/eV/f.u.


! InFeSi2 | Alexandria | meta-GGA SCAN | PBEsol geometry; values from VASP
&SYSTEM
  ibrav = 0, nat = 4, ntyp = 3
/
ATOMIC_SPECIES
Fe 55.84 Fe.upf
Si 28.09 Si.upf
In 114.82 In.upf
ATOMIC_POSITIONS angstrom
Fe 1.9452 1.9452 0.0000
Si 1.9452 0.0000 1.9596
Si 0.0000 0.0000 0.0000
In 0.0000 1.9452 1.9596
CELL_PARAMETERS angstrom
3.8903 0.0000 0.0000
0.0000 3.8903 0.0000
-1.9452 -1.9452 3.9193
! - Crystal system: tetragonal
! - Density: 6.35 Mg/m³
! - E_form (uncorrected): 0.61 eV per atom
! - D(E_F): 1.936 states/eV/f.u.


! BeNiIr2 | Alexandria | meta-GGA SCAN | PBEsol geometry; values from VASP
&SYSTEM
  ibrav = 0, nat = 4, ntyp = 3
/
ATOMIC_SPECIES
Be 9.01 Be.upf
Ir 192.22 Ir.upf
Ni 58.69 Ni.upf
ATOMIC_POSITIONS angstrom
Be 1.3537 1.3537 4.5833
Ir 0.0000 0.0000 6.0407
Ir 1.3537 1.3537 1.6501
Ni 0.0000 0.0000 3.4014
CELL_PARAMETERS angstrom
2.7075 0.0000 0.0000
0.0000 2.7075 0.0000
0.0000 0.0000 6.2702
! - Crystal system: tetragonal
! - Density: 16.33 Mg/m³
! - Formation energy from the elements: -0.26 eV per atom
! - D(E_F): 2.997 states/eV/f.u.


! NdIn3Pt | Alexandria | meta-GGA SCAN | PBEsol geometry; values from VASP
&SYSTEM
  ibrav = 0, nat = 40, ntyp = 3
/
ATOMIC_SPECIES
In 114.82 In.upf
Pt 195.08 Pt.upf
Nd 144.24 Nd.upf
ATOMIC_POSITIONS angstrom
In -9.1750 -2.2441 2.9337
In -6.8983 -4.2922 0.7101
In -5.7376 -3.2441 7.3742
In -5.1857 1.5647 6.9097
In -2.3884 -6.8829 7.6201
In -8.5673 -3.1725 6.5520
In -8.1168 -2.8371 -1.7752
In -6.9433 -6.5379 5.9530
In -1.9005 -6.4560 0.6945
In -1.8923 -0.2521 6.4908
In -4.0685 -4.3639 1.5323
In -6.7373 0.4277 -0.4482
In -8.3753 -6.2921 -1.1868
In -8.5594 1.6502 5.9294
In -5.6926 -0.9984 2.1313
In -1.4390 -7.5199 4.2970
In -3.4609 -5.2923 5.1505
In -6.1469 -7.0722 3.1657
In -3.2441 -2.3943 4.6570
In -1.6421 -3.0011 0.1061
In -0.9429 -0.8891 3.1677
In -6.4889 -0.4642 4.9186
In -9.3918 -5.1421 3.4273
In -3.3636 0.3422 0.5320
Pt -9.4769 -5.6523 6.0632
Pt -4.4682 -1.0057 6.6035
Pt -9.1205 -0.8879 5.2518
Pt -8.1677 -6.5307 1.4807
Pt -4.8246 -5.7701 7.4150
Pt -7.8112 -1.7663 0.6693
Pt -3.1590 -1.8841 2.0211
Pt -3.5154 -6.6485 2.8325
Nd 0.0000 0.0000 0.0000
Nd -8.2876 1.0551 2.5548
Nd -3.6354 0.9373 3.9066
Nd -2.3203 -3.4468 7.6851
Nd -6.3179 -3.7682 4.0421
Nd -4.8305 -2.2644 -0.9461
Nd -1.0110 -4.3252 3.1027
Nd -5.1869 -7.0288 -0.1346
CELL_PARAMETERS angstrom
-2.6185 1.7568 9.1650
-9.3045 0.2356 -2.7035
-0.7129 -9.5288 1.6228
! - Crystal system: cubic
! - Density: 9.98 Mg/m³
! - Formation energy from the elements: -0.75 eV per atom
! - D(E_F): 1.318 states/eV/f.u.


! ZrTiPO2 | Alexandria | meta-GGA SCAN | PBEsol geometry; values from VASP
&SYSTEM
  ibrav = 0, nat = 5, ntyp = 4
/
ATOMIC_SPECIES
O 16.00 O.upf
P 30.97 P.upf
Zr 91.22 Zr.upf
Ti 47.87 Ti.upf
ATOMIC_POSITIONS angstrom
O -0.9055 0.1362 -1.6439
O -1.2419 -1.2906 0.5772
P -1.4266 1.7907 0.9342
Zr -3.5741 0.6363 -0.1326
Ti 0.0000 0.0000 0.0000
CELL_PARAMETERS angstrom
-1.8111 0.2724 -3.2879
-2.4839 -2.5811 1.1544
-2.8533 3.5814 1.8683
! - Crystal system: tetragonal
! - Density: 4.79 Mg/m³
! - E_form (uncorrected): -1.97 eV per atom
! - D(E_F): 1.788 states/eV/f.u.


! Ca2ZnAs | Alexandria | meta-GGA SCAN | PBEsol geometry; values from VASP
&SYSTEM
  ibrav = 0, nat = 4, ntyp = 3
/
ATOMIC_SPECIES
Ca 40.08 Ca.upf
As 74.92 As.upf
Zn 65.41 Zn.upf
ATOMIC_POSITIONS angstrom
Ca 0.0000 0.0000 5.0449
Ca 0.0000 0.0000 1.7949
As 1.7347 1.9344 3.4199
Zn 1.7347 1.9344 0.0000
CELL_PARAMETERS angstrom
3.4694 0.0000 0.0000
0.0000 3.8689 0.0000
0.0000 0.0000 6.8397
! - Relative energy among the computed polymorphs: 12.42 kJ per mole of atoms
! - Crystal system: orthorhombic
! - Density: 3.99 Mg/m³
! - Formation energy from the elements: -0.71 eV per atom
! - D(E_F): 0.761 states/eV/f.u.


Per-record final energy, eV/atom: -7.12; -13.75; -45.63; -54.03; -21.90; -23.22; -25.95; -17.28; -40.95; -43.54; -15.89; -13.97